5
Lattice="4.6105 0.0000 0.0000 0.0000 4.6105 0.0000 0.0000 0.0000 4.5049" Properties=species:S:1:pos:R:3 comment="meta-GGA SCAN Mg2ZnPdW, single point on PBEsol structure" ef_ev_per_fu=5.40 sg="No. 123" pbc="T T T"
Mg 0.0000 2.3053 0.0000
Mg 2.3053 0.0000 0.0000
Zn 0.0000 0.0000 0.0000
Pd 0.0000 0.0000 2.2524
W 2.3053 2.3053 2.2524

5
Lattice="4.9146 0.0000 0.0000 0.0000 4.9146 0.0000 0.0000 0.0000 5.0738" Properties=species:S:1:pos:R:3 comment="meta-GGA SCAN CsCuGe2W, single point on PBEsol structure" ef_ev_per_fu=2.61 sg="No. 123" pbc="T T T"
Cs 0.0000 0.0000 0.0000
Cu 2.4573 2.4573 0.0000
Ge 0.0000 2.4573 2.5369
Ge 2.4573 0.0000 2.5369
W 2.4573 2.4573 2.5369

5
Lattice="4.3167 0.0000 0.0000 0.0000 4.3167 0.0000 0.0000 0.0000 4.3167" Properties=species:S:1:pos:R:3 comment="meta-GGA SCAN InAsF3, single point on PBEsol structure" formation_energy_uncorrected_mev_per_atom=-1420 sg="No. 221" pbc="T T T"
In 0.0000 0.0000 0.0000
As 2.1583 2.1583 2.1583
F 0.0000 0.0000 2.1583
F 0.0000 2.1583 0.0000
F 2.1583 0.0000 0.0000

Number 1: volume 19.15 A^3/atom, VASP energy -1.77170 Ry per atom. Number 2: volume 24.51 A^3/atom, VASP energy -2.32647 Ry per atom. Number 3: volume 16.09 A^3/atom, VASP energy -1.04802 Ry per atom.